Entry from Alexandria via LeMat-Bulk: crystalline CoBiPtO6 at its relaxed geometry (PBE+U).

Structure (POSCAR):
```
CoBiPtO6
1.0
5.131 0.000 0.000
-2.566 4.444 0.000
0.000 0.000 9.524
Co Bi Pt O
2 2 2 12
direct
0.333 0.667 0.250 Co
0.667 0.333 0.750 Co
0.000 0.000 0.000 Bi
0.000 0.000 0.500 Bi
0.333 0.667 0.750 Pt
0.667 0.333 0.250 Pt
0.013 0.376 0.138 O
0.013 0.637 0.362 O
0.363 0.376 0.362 O
0.363 0.987 0.138 O
0.376 0.013 0.638 O
0.376 0.363 0.862 O
0.624 0.637 0.138 O
0.624 0.987 0.362 O
0.637 0.013 0.862 O
0.637 0.624 0.638 O
0.987 0.363 0.638 O
0.987 0.624 0.862 O
```

Calculated values
D(E_F), states/eV/cell: 16.38
Energy, eV/atom: -5.72